[1]
Compound: Tb5Ag2
Source: the Alexandria database
Functional: PBE
Structure: optimized geometry

a b c (Å): 8.779 8.779 6.811
angles (deg): 90.73 90.73 48.81
Element x y z (fractional)
Tb (0.005, 0.995, 0.750)
Tb (0.200, 0.251, 0.765)
Tb (0.251, 0.200, 0.265)
Tb (0.264, 0.549, 0.497)
Tb (0.451, 0.736, 0.003)
Tb (0.549, 0.264, 0.997)
Tb (0.736, 0.451, 0.503)
Tb (0.749, 0.800, 0.735)
Tb (0.800, 0.749, 0.235)
Tb (0.995, 0.005, 0.250)
Ag (0.138, 0.636, 0.988)
Ag (0.364, 0.862, 0.512)
Ag (0.636, 0.138, 0.488)
Ag (0.862, 0.364, 0.012)

Computed properties:
Energy of formation from the pure elements in eV per atom: -0.117
Space-group type: C2/c (15)

***

[2]
Compound: TbAg4
Source: the Alexandria database
Functional: PBE
Structure: optimized geometry

a b c (Å): 5.461 5.461 5.461
angles (deg): 90.00 90.00 90.00
Element x y z (fractional)
Tb (0.000, 0.000, 0.000)
Ag (0.000, 0.000, 0.500)
Ag (0.000, 0.500, 0.000)
Ag (0.500, 0.000, 0.000)
Ag (0.500, 0.500, 0.500)

Computed properties:
Energy of formation from the pure elements in eV per atom: 1.015
Space-group type: Pm-3m (221)

***

[3]
Compound: TbAg
Source: the Alexandria database
Functional: PBE
Structure: optimized geometry

a b c (Å): 3.652 3.652 3.652
angles (deg): 90.00 90.00 90.00
Element x y z (fractional)
Tb (0.000, 0.000, 0.000)
Ag (0.500, 0.500, 0.500)

Computed properties:
Energy of formation from the pure elements in eV per atom: -0.314
Space-group type: Pm-3m (221)

***

[4]
Compound: Tb3Ag2
Source: the Alexandria database
Functional: PBE
Structure: optimized geometry

a b c (Å): 8.066 8.066 10.735
angles (deg): 90.09 90.09 36.82
Element x y z (fractional)
Tb (0.000, 0.000, 0.000)
Tb (0.002, 0.002, 0.664)
Tb (0.331, 0.331, 0.005)
Tb (0.332, 0.332, 0.669)
Tb (0.337, 0.337, 0.333)
Tb (0.663, 0.663, 0.667)
Tb (0.668, 0.668, 0.331)
Tb (0.669, 0.669, 0.995)
Tb (0.998, 0.998, 0.336)
Ag (0.166, 0.166, 0.167)
Ag (0.167, 0.167, 0.498)
Ag (0.499, 0.499, 0.834)
Ag (0.501, 0.501, 0.166)
Ag (0.833, 0.833, 0.502)
Ag (0.834, 0.834, 0.833)

Computed properties:
Energy of formation from the pure elements in eV per atom: -0.089
Offset from the most stable computed form in kJ per mole of atoms: 14.9
Space-group type: C2/m (12)

***

[5]
Compound: Tb14Ag51
Source: the Alexandria database
Functional: PBE
Structure: optimized geometry

a b c (Å): 12.815 12.815 9.371
angles (deg): 90.00 90.00 120.00
Element x y z (fractional)
Tb (0.000, 0.000, 0.193)
Tb (0.000, 0.000, 0.807)
Tb (0.113, 0.714, 0.500)
Tb (0.139, 0.464, 0.000)
Tb (0.286, 0.399, 0.500)
Tb (0.325, 0.861, 0.000)
Tb (0.383, 0.115, 0.500)
Tb (0.469, 0.328, 0.000)
Tb (0.536, 0.675, 0.000)
Tb (0.601, 0.887, 0.500)
Tb (0.672, 0.141, 0.000)
Tb (0.732, 0.617, 0.500)
Tb (0.859, 0.531, 0.000)
Tb (0.885, 0.268, 0.500)
Ag (0.005, 0.876, 0.500)
Ag (0.060, 0.819, 0.000)
Ag (0.075, 0.261, 0.273)
Ag (0.075, 0.261, 0.727)
Ag (0.103, 0.660, 0.165)
Ag (0.103, 0.660, 0.835)
Ag (0.116, 0.490, 0.347)
Ag (0.116, 0.490, 0.653)
Ag (0.124, 0.129, 0.500)
Ag (0.181, 0.240, 0.000)
Ag (0.186, 0.925, 0.273)
Ag (0.186, 0.925, 0.727)
Ag (0.234, 0.057, 0.000)
Ag (0.272, 0.196, 0.258)
Ag (0.272, 0.196, 0.742)
Ag (0.333, 0.667, 0.195)
Ag (0.333, 0.667, 0.500)
Ag (0.333, 0.667, 0.805)
Ag (0.340, 0.443, 0.165)
Ag (0.340, 0.443, 0.835)
Ag (0.374, 0.884, 0.347)
Ag (0.374, 0.884, 0.653)
Ag (0.437, 0.103, 0.166)
Ag (0.437, 0.103, 0.834)
Ag (0.498, 0.383, 0.348)
Ag (0.498, 0.383, 0.652)
Ag (0.510, 0.626, 0.347)
Ag (0.510, 0.626, 0.653)
Ag (0.557, 0.897, 0.165)
Ag (0.557, 0.897, 0.835)
Ag (0.617, 0.116, 0.348)
Ag (0.617, 0.116, 0.652)
Ag (0.666, 0.563, 0.166)
Ag (0.666, 0.563, 0.834)
Ag (0.667, 0.333, 0.196)
Ag (0.667, 0.333, 0.500)
Ag (0.667, 0.333, 0.804)
Ag (0.739, 0.814, 0.273)
Ag (0.739, 0.814, 0.727)
Ag (0.760, 0.940, 0.000)
Ag (0.804, 0.077, 0.258)
Ag (0.804, 0.077, 0.742)
Ag (0.823, 0.766, 0.000)
Ag (0.871, 0.995, 0.500)
Ag (0.884, 0.502, 0.348)
Ag (0.884, 0.502, 0.652)
Ag (0.897, 0.334, 0.166)
Ag (0.897, 0.334, 0.834)
Ag (0.923, 0.728, 0.258)
Ag (0.923, 0.728, 0.742)
Ag (0.943, 0.177, 0.000)

Computed properties:
Energy of formation from the pure elements in eV per atom: -0.234
Space-group type: P-6 (174)

***

[6]
Compound: Tb3Ag5
Source: the Alexandria database
Functional: PBE
Structure: optimized geometry

a b c (Å): 7.484 7.484 3.866
angles (deg): 90.00 90.00 120.00
Element x y z (fractional)
Tb (0.000, 0.383, 0.000)
Tb (0.383, 0.000, 0.000)
Tb (0.617, 0.617, 0.000)
Ag (0.000, 0.766, 0.500)
Ag (0.234, 0.234, 0.500)
Ag (0.333, 0.667, 0.500)
Ag (0.667, 0.333, 0.500)
Ag (0.766, 0.000, 0.500)

Computed properties:
Energy of formation from the pure elements in eV per atom: -0.249
Space-group type: P-62m (189)

***

[7]
Compound: Tb2Ag
Source: the Alexandria database
Functional: PBE
Structure: optimized geometry

a b c (Å): 3.633 3.633 12.331
angles (deg): 90.00 90.00 90.00
Element x y z (fractional)
Tb (0.000, 0.000, 0.000)
Tb (0.000, 0.000, 0.298)
Tb (0.000, 0.000, 0.702)
Tb (0.500, 0.500, 0.500)
Ag (0.500, 0.500, 0.149)
Ag (0.500, 0.500, 0.851)

Computed properties:
Energy of formation from the pure elements in eV per atom: -0.194
Space-group type: P4/mmm (123)

***

[8]
Compound: TbAg6
Source: the Alexandria database
Functional: PBE
Structure: optimized geometry

a b c (Å): 6.349 6.349 6.349
angles (deg): 109.47 109.47 109.47
Element x y z (fractional)
Tb (0.000, 0.000, 0.000)
Ag (0.250, 0.500, 0.750)
Ag (0.250, 0.750, 0.500)
Ag (0.500, 0.250, 0.750)
Ag (0.500, 0.750, 0.250)
Ag (0.750, 0.250, 0.500)
Ag (0.750, 0.500, 0.250)

Computed properties:
Energy of formation from the pure elements in eV per atom: 0.630
Offset from the most stable computed form in kJ per mole of atoms: 69.5
Space-group type: Im-3m (229)

***

Question: What is the formula in the first record?
Answer: Tb5Ag2

***

Question: The highest energy of formation from the pure elements belongs to which entry?
Answer: TbAg4

***

Question: energy of formation from the pure elements of number 3 (TbAg)?
Answer: -0.314 eV per atom

***

Question: What is the formula in the fourth record?
Answer: Tb3Ag2